1.
Entry from Alexandria via LeMat-Bulk: a relaxed structure of Cs2SbSeO6 (PBE).

CIF file:
```
data_Cs2SbSeO6
_symmetry_space_group_name_H-M 'I 4/m m m'
_symmetry_Int_Tables_number 139
_symmetry_space_group_name_Hall '-I 4 2'
_cell_length_a 5.646
_cell_length_b 5.646
_cell_length_c 11.658
_cell_angle_alpha 90.00
_cell_angle_beta 90.00
_cell_angle_gamma 90.00
loop_
_atom_site_label
_atom_site_type_symbol
_atom_site_fract_x
_atom_site_fract_y
_atom_site_fract_z
Cs1 Cs 0.000 0.500 0.250
Sb1 Sb 0.000 0.000 0.000
Se1 Se 0.000 0.000 0.500
O1 O 0.000 0.000 0.163
O2 O 0.231 0.231 0.500
```

Output
Formation energy (no corrections), eV/f.u.: -9.8
DOS at the Fermi energy, states/eV per cell: 12.13

***

2.
Entry from Alexandria via LeMat-Bulk: a relaxed structure of Tm4GaBi2 (PBE).

CIF file:
```
data_Tm4GaBi2
_symmetry_space_group_name_H-M 'P b a m'
_symmetry_Int_Tables_number 55
_symmetry_space_group_name_Hall '-P 2 2ab'
_cell_length_a 7.719
_cell_length_b 12.047
_cell_length_c 4.539
_cell_angle_alpha 90.00
_cell_angle_beta 90.00
_cell_angle_gamma 90.00
loop_
_atom_site_label
_atom_site_type_symbol
_atom_site_fract_x
_atom_site_fract_y
_atom_site_fract_z
Tm1 Tm 0.146 0.212 0.000
Tm2 Tm 0.207 0.943 0.500
Ga1 Ga 0.000 0.000 0.000
Bi1 Bi 0.077 0.673 0.500
```

Output
Formation enthalpy at 0 K, eV/atom: -0.5565
DOS at the Fermi energy, states/eV per cell: 8.91

***

3.
Entry from Alexandria via LeMat-Bulk: a relaxed structure of ZnIrPb4 (PBE).

CIF file:
```
data_ZnIrPb4
_symmetry_space_group_name_H-M 'F -4 3 m'
_symmetry_Int_Tables_number 216
_symmetry_space_group_name_Hall 'F -4 2 3'
_cell_length_a 8.801
_cell_length_b 8.801
_cell_length_c 8.801
_cell_angle_alpha 90.00
_cell_angle_beta 90.00
_cell_angle_gamma 90.00
loop_
_atom_site_label
_atom_site_type_symbol
_atom_site_fract_x
_atom_site_fract_y
_atom_site_fract_z
Zn1 Zn 0.000 0.000 0.000
Ir1 Ir 0.250 0.250 0.750
Pb1 Pb 0.124 0.124 0.376
```

Output
Formation enthalpy at 0 K, eV/atom: 0.8792
DOS at the Fermi energy, states/eV per cell: 16.28

***

Copy entry 2 word for word.
Entry from Alexandria via LeMat-Bulk: a relaxed structure of Tm4GaBi2 (PBE).

CIF file:
```
data_Tm4GaBi2
_symmetry_space_group_name_H-M 'P b a m'
_symmetry_Int_Tables_number 55
_symmetry_space_group_name_Hall '-P 2 2ab'
_cell_length_a 7.719
_cell_length_b 12.047
_cell_length_c 4.539
_cell_angle_alpha 90.00
_cell_angle_beta 90.00
_cell_angle_gamma 90.00
loop_
_atom_site_label
_atom_site_type_symbol
_atom_site_fract_x
_atom_site_fract_y
_atom_site_fract_z
Tm1 Tm 0.146 0.212 0.000
Tm2 Tm 0.207 0.943 0.500
Ga1 Ga 0.000 0.000 0.000
Bi1 Bi 0.077 0.673 0.500
```

Output
Formation enthalpy at 0 K, eV/atom: -0.5565
DOS at the Fermi energy, states/eV per cell: 8.91

***

DOS at the Fermi energy of number 2 (Tm4GaBi2)?
8.91 states/eV per cell